VASP calculation (GGA-PBE) on a relaxed structure of K3Sr2NpS6.

## Properties
DFT total energy = -5.27 eV per atom
magnetization = 2.0 μB/f.u.

a b c (Å): 7.3498 7.3498 7.7442
angles (deg): 99.21 99.21 119.96
With the nearest neighbours (Å) after each atom.
Sites, in units of the cell vectors:
S (0.7722, 0.7722, 0.2041)  1 Np 2.65
S (0.0690, 0.3673, 0.2064)  1 Np 2.66
S (0.3673, 0.0690, 0.2064)  1 Np 2.66
S (0.2278, 0.2278, 0.7959)  1 Np 2.65
S (0.6327, 0.9310, 0.7936)  1 Np 2.66
S (0.9310, 0.6327, 0.7936)  1 Np 2.66
K (0.8303, 0.1697, 0.5000)  6 S 3.19-3.43
K (0.1697, 0.8303, 0.5000)  6 S 3.19-3.43
K (0.5000, 0.5000, 0.5000)  6 S 3.17-3.49
Np (0.0000, 0.0000, 0.0000)  6 S 2.65-2.66
Sr (0.3334, 0.6666, 0.0000)  6 S 3.00
Sr (0.6666, 0.3334, 0.0000)  6 S 3.00